# BeAgAsO, optimized geometry, DFT GGA-PBE
# **Calculated total energy**: -0.1788 Ha/atom
# **Energy relative to the lowest polymorph listed for this composition**: 0.0 kJ/mol of atoms
data_BeAgAsO
_chemical_formula_sum 'Be2 Ag2 As2 O2'
_symmetry_space_group_name_H-M 'P m c 21'
_symmetry_Int_Tables_number 26
_cell_length_a 2.805
_cell_length_b 6.954
_cell_length_c 5.908
_cell_angle_alpha 90.00
_cell_angle_beta 90.00
_cell_angle_gamma 90.00
loop_
_symmetry_equiv_pos_as_xyz
'x,y,z'
'-x,-y,z+1/2'
'-x,y,z'
'x,-y,z+1/2'
loop_
_atom_site_label
_atom_site_type_symbol
_atom_site_fract_x
_atom_site_fract_y
_atom_site_fract_z
Be1 Be 0.000 0.192 0.000
Ag1 Ag 0.500 0.214 0.524
As1 As 0.000 0.495 0.285
O1 O 0.500 0.110 0.002